## a
CsTe2Rh2, relaxed, DFT PBE; N(E_F) = 6.11 states/eV/cell; calculated volume = 307 Å³/cell
1.0
4.957 0.000 0.000
0.000 4.957 0.000
0.000 0.000 12.507
Cs Te Rh
2 4 4
direct
0.000 0.000 0.000
0.500 0.500 0.500
0.000 0.500 0.250
0.000 0.500 0.750
0.500 0.000 0.250
0.500 0.000 0.750
0.000 0.000 0.322
0.000 0.000 0.678
0.500 0.500 0.178
0.500 0.500 0.822

## b
CsTe2Rh2, relaxed, DFT PBE; N(E_F) = 16.24 states/eV/cell; calculated volume = 285 Å³/cell
1.0
4.351 0.000 0.000
0.000 4.351 0.000
0.000 0.000 15.048
Cs Te Rh
2 4 4
direct
0.000 0.000 0.000
0.500 0.500 0.500
0.000 0.000 0.347
0.000 0.000 0.653
0.500 0.500 0.153
0.500 0.500 0.847
0.000 0.500 0.250
0.000 0.500 0.750
0.500 0.000 0.250
0.500 0.000 0.750

Energies relative to the most stable structure are a 229; b 0, reported in meV/atom.

## a
CsTi3Rh, relaxed, DFT PBE; N(E_F) = 7.32 states/eV/cell; calculated volume = 122 Å³/cell
1.0
4.959 0.000 0.000
0.000 4.959 0.000
0.000 0.000 4.959
Cs Ti Rh
1 3 1
direct
0.000 0.000 0.000
0.000 0.500 0.500
0.500 0.000 0.500
0.500 0.500 0.000
0.500 0.500 0.500

## b
CsTi3Rh, relaxed, DFT PBE; N(E_F) = 10.09 states/eV/cell; calculated volume = 115 Å³/cell
1.0
4.858 0.000 0.000
0.000 4.858 0.000
0.000 0.000 4.858
Cs Ti Rh
1 3 1
direct
0.000 0.000 0.000
0.000 0.000 0.500
0.000 0.500 0.000
0.500 0.000 0.000
0.500 0.500 0.500

Energies relative to the most stable structure are a 0; b 1467, reported in meV/atom.

## a
CsTiRh3, relaxed, DFT PBE; N(E_F) = 6.88 states/eV/cell; calculated volume = 110 Å³/cell
1.0
4.796 0.000 0.000
0.000 4.796 0.000
0.000 0.000 4.796
Cs Ti Rh
1 1 3
direct
0.000 0.000 0.000
0.500 0.500 0.500
0.000 0.500 0.500
0.500 0.000 0.500
0.500 0.500 0.000

## b
CsTiRh3, relaxed, DFT PBE; N(E_F) = 6.33 states/eV/cell; calculated volume = 116 Å³/cell
1.0
4.883 0.000 0.000
0.000 4.883 0.000
0.000 0.000 4.883
Cs Ti Rh
1 1 3
direct
0.000 0.000 0.000
0.500 0.500 0.500
0.000 0.000 0.500
0.000 0.500 0.000
0.500 0.000 0.000

Energies relative to the most stable structure are a 0; b 1428, reported in meV/atom.

## a
CsVRh3, relaxed, DFT PBE; N(E_F) = 9.19 states/eV/cell; calculated volume = 117 Å³/cell
1.0
4.897 0.000 0.000
0.000 4.897 0.000
0.000 0.000 4.897
Cs V Rh
1 1 3
direct
0.000 0.000 0.000
0.500 0.500 0.500
0.000 0.000 0.500
0.000 0.500 0.000
0.500 0.000 0.000

## b
CsVRh3, relaxed, DFT PBE; N(E_F) = 5.18 states/eV/cell; calculated volume = 105 Å³/cell
1.0
4.719 0.000 0.000
0.000 4.719 0.000
0.000 0.000 4.719
Cs V Rh
1 1 3
direct
0.000 0.000 0.000
0.500 0.500 0.500
0.000 0.500 0.500
0.500 0.000 0.500
0.500 0.500 0.000

Energies relative to the most stable structure are a 1492; b 0, reported in meV/atom.

## a
CsRh3W, relaxed, DFT PBE; N(E_F) = 2.08 states/eV/cell; calculated volume = 116 Å³/cell
1.0
4.878 0.000 0.000
0.000 4.878 0.000
0.000 0.000 4.878
Cs Rh W
1 3 1
direct
0.000 0.000 0.000
0.000 0.500 0.500
0.500 0.000 0.500
0.500 0.500 0.000
0.500 0.500 0.500

## b
CsRh3W, relaxed, DFT PBE; N(E_F) = 5.23 states/eV/cell; calculated volume = 115 Å³/cell
1.0
4.861 0.000 0.000
0.000 4.861 0.000
0.000 0.000 4.861
Cs Rh W
1 3 1
direct
0.000 0.000 0.000
0.000 0.000 0.500
0.000 0.500 0.000
0.500 0.000 0.000
0.500 0.500 0.500

Energies relative to the most stable structure are a 0; b 1862, reported in meV/atom.

## a
CsYRh3, relaxed, DFT PBE; N(E_F) = 4.28 states/eV/cell; calculated volume = 121 Å³/cell
1.0
4.950 0.000 0.000
0.000 4.950 0.000
0.000 0.000 4.950
Cs Y Rh
1 1 3
direct
0.000 0.000 0.000
0.500 0.500 0.500
0.000 0.000 0.500
0.000 0.500 0.000
0.500 0.000 0.000

## b
CsYRh3, relaxed, DFT PBE; N(E_F) = 3.53 states/eV/cell; calculated volume = 138 Å³/cell
1.0
5.172 0.000 0.000
0.000 5.172 0.000
0.000 0.000 5.172
Cs Y Rh
1 1 3
direct
0.000 0.000 0.000
0.500 0.500 0.500
0.000 0.500 0.500
0.500 0.000 0.500
0.500 0.500 0.000

Energies relative to the most stable structure are a 429; b 0, reported in meV/atom.

## a
CsY3Rh, relaxed, DFT PBE; N(E_F) = 6.52 states/eV/cell; calculated volume = 163 Å³/cell
1.0
5.460 0.000 0.000
0.000 5.460 0.000
0.000 0.000 5.460
Cs Y Rh
1 3 1
direct
0.000 0.000 0.000
0.000 0.000 0.500
0.000 0.500 0.000
0.500 0.000 0.000
0.500 0.500 0.500

## b
CsY3Rh, relaxed, DFT PBE; N(E_F) = 7.99 states/eV/cell; calculated volume = 176 Å³/cell
1.0
5.602 0.000 0.000
0.000 5.602 0.000
0.000 0.000 5.602
Cs Y Rh
1 3 1
direct
0.000 0.000 0.000
0.000 0.500 0.500
0.500 0.000 0.500
0.500 0.500 0.000
0.500 0.500 0.500

Energies relative to the most stable structure are a 1650; b 0, reported in meV/atom.

## a
CsZnRh3, relaxed, DFT PBE; N(E_F) = 3.86 states/eV/cell; calculated volume = 121 Å³/cell
1.0
4.945 0.000 0.000
0.000 4.945 0.000
0.000 0.000 4.945
Cs Zn Rh
1 1 3
direct
0.000 0.000 0.000
0.500 0.500 0.500
0.000 0.000 0.500
0.000 0.500 0.000
0.500 0.000 0.000

## b
CsZnRh3, relaxed, DFT PBE; N(E_F) = 8.51 states/eV/cell; calculated volume = 111 Å³/cell
1.0
4.811 0.000 0.000
0.000 4.811 0.000
0.000 0.000 4.811
Cs Zn Rh
1 1 3
direct
0.000 0.000 0.000
0.500 0.500 0.500
0.000 0.500 0.500
0.500 0.000 0.500
0.500 0.500 0.000

Energies relative to the most stable structure are a 1074; b 0, reported in meV/atom.